Compound: Sm4SbAsSe2
Source: Alexandria
Functional: PBE
Structure: optimized geometry

Cell lengths 7.353, 4.269, 7.432 Å; angles 90.00, 109.57, 90.00 degrees
Sites, in units of the cell vectors:
Sm 0.245 0.000 0.238
Sm 0.254 0.500 0.763
Sm 0.746 0.500 0.237
Sm 0.755 0.000 0.762
Sb 0.000 0.000 0.500
As 0.000 0.500 0.000
Se 0.500 0.000 0.000
Se 0.500 0.500 0.500

Calculated values
Magnetization   0.0 μB/f.u.
Volume   27.476 A^3/atom
Formation energy without anion corrections   -1.604 eV/atom

---

Compound: Sm6Sb3AsSe2
Source: Alexandria
Functional: PBE
Structure: optimized geometry

Cell lengths 9.699, 9.699, 8.668 Å; angles 102.98, 102.98, 25.83 degrees
Sites, in units of the cell vectors:
Sm 0.001 0.001 0.238
Sm 0.332 0.332 0.422
Sm 0.339 0.339 0.914
Sm 0.661 0.661 0.086
Sm 0.668 0.668 0.578
Sm 0.999 0.999 0.762
Sb 0.168 0.168 0.833
Sb 0.500 0.500 0.500
Sb 0.832 0.832 0.167
As 0.500 0.500 0.000
Se 0.167 0.167 0.334
Se 0.833 0.833 0.666

Calculated values
Magnetization   0.0 μB/f.u.
Volume   28.815 A^3/atom
Formation energy without anion corrections   -1.463 eV/atom

---

Compound: Sm4SbAs2Se
Source: Alexandria
Functional: PBE
Structure: optimized geometry

Cell lengths 7.386, 4.268, 7.426 Å; angles 90.00, 109.31, 90.00 degrees
Sites, in units of the cell vectors:
Sm 0.242 0.000 0.236
Sm 0.252 0.500 0.763
Sm 0.748 0.500 0.237
Sm 0.758 0.000 0.764
Sb 0.500 0.500 0.500
As 0.000 0.500 0.000
As 0.500 0.000 0.000
Se 0.000 0.000 0.500

Calculated values
Magnetization   0.0 μB/f.u.
Volume   27.616 A^3/atom
Formation energy without anion corrections   -1.545 eV/atom

---

Compound: SnSbAs2Se
Source: Alexandria
Functional: PBE
Structure: optimized geometry

Cell lengths 5.261, 5.261, 5.353 Å; angles 90.00, 90.00, 90.00 degrees
Sites, in units of the cell vectors:
Sn 0.000 0.000 0.000
Sb 0.500 0.500 0.500
As 0.000 0.500 0.500
As 0.500 0.000 0.500
Se 0.500 0.500 0.000

Calculated values
Polymorph energy (0 for the lowest one)   0.000 eV per formula unit
Magnetization   0.0 μB/f.u.
Volume   29.630 A^3/atom
Formation energy without anion corrections   0.619 eV/atom

---

Compound: SnSbAsSe
Source: Alexandria
Functional: PBE
Structure: optimized geometry

Cell lengths 3.893, 3.893, 12.073 Å; angles 99.65, 99.65, 59.99 degrees
Sites, in units of the cell vectors:
Sn 0.000 0.000 0.000
Sb 0.499 0.499 0.508
As 0.876 0.876 0.636
Se 0.379 0.379 0.133

Calculated values
Magnetization   0.0 μB/f.u.
Volume   38.856 A^3/atom
Formation energy without anion corrections   -0.150 eV/atom

---

Compound: Sn4SbAsSe2
Source: Alexandria
Functional: PBE
Structure: optimized geometry

Cell lengths 7.350, 4.237, 7.359 Å; angles 90.00, 108.48, 90.00 degrees
Sites, in units of the cell vectors:
Sn 0.241 0.000 0.235
Sn 0.247 0.500 0.754
Sn 0.753 0.500 0.246
Sn 0.759 0.000 0.765
Sb 0.000 0.000 0.500
As 0.000 0.500 0.000
Se 0.500 0.000 0.000
Se 0.500 0.500 0.500

Calculated values
Magnetization   0.0 μB/f.u.
Volume   27.169 A^3/atom
Formation energy without anion corrections   -0.173 eV/atom

---

- What is the magnetization in the fourth record?
  0.0 μB/f.u.

---

Please write out number 6 again, unchanged.
Compound: Sn4SbAsSe2
Source: Alexandria
Functional: PBE
Structure: optimized geometry

Cell lengths 7.350, 4.237, 7.359 Å; angles 90.00, 108.48, 90.00 degrees
Sites, in units of the cell vectors:
Sn 0.241 0.000 0.235
Sn 0.247 0.500 0.754
Sn 0.753 0.500 0.246
Sn 0.759 0.000 0.765
Sb 0.000 0.000 0.500
As 0.000 0.500 0.000
Se 0.500 0.000 0.000
Se 0.500 0.500 0.500

Calculated values
Magnetization   0.0 μB/f.u.
Volume   27.169 A^3/atom
Formation energy without anion corrections   -0.173 eV/atom

---

Please write out number 2 again, unchanged.
Compound: Sm6Sb3AsSe2
Source: Alexandria
Functional: PBE
Structure: optimized geometry

Cell lengths 9.699, 9.699, 8.668 Å; angles 102.98, 102.98, 25.83 degrees
Sites, in units of the cell vectors:
Sm 0.001 0.001 0.238
Sm 0.332 0.332 0.422
Sm 0.339 0.339 0.914
Sm 0.661 0.661 0.086
Sm 0.668 0.668 0.578
Sm 0.999 0.999 0.762
Sb 0.168 0.168 0.833
Sb 0.500 0.500 0.500
Sb 0.832 0.832 0.167
As 0.500 0.500 0.000
Se 0.167 0.167 0.334
Se 0.833 0.833 0.666

Calculated values
Magnetization   0.0 μB/f.u.
Volume   28.815 A^3/atom
Formation energy without anion corrections   -1.463 eV/atom

---

- Number 2 is which compound?
  Sm6Sb3AsSe2